# CsSnI | Alexandria | PBE | optimized geometry
# * E_tot: -2.83 eV/atom
# * formation energy (no corrections): -16.04 kcal/mol of atoms
data_CsSnI
_chemical_formula_sum 'Cs2 Sn2 I2'
_cell_length_a 4.778
_cell_length_b 6.354
_cell_length_c 10.179
_cell_angle_alpha 74.39
_cell_angle_beta 86.66
_cell_angle_gamma 89.88
_space_group_name_H-M_alt 'P -1'
_space_group_IT_number 2
_space_group_name_Hall '-P 1'
loop_
_atom_site_label
_atom_site_fract_x
_atom_site_fract_y
_atom_site_fract_z
Cs1 0.214 0.326 0.277
Sn1 0.255 0.884 0.964
I1 0.293 0.196 0.676